A plane-wave DFT calculation with GGA-PBE was carried out for a geometry-optimized LiTbC2O6 structure.

```
20
Lattice="-3.9684 -0.9955 -4.5975 3.3147 -3.0599 -4.1865 -1.2401 -3.2519 5.6422" Properties=species:S:1:pos:R:3 pbc="T T T"
C -1.0214 -3.2776 -5.6886
C -1.0155 -2.1874 -0.3174
C -0.8784 -5.1199 -2.8245
C -0.8725 -4.0296 2.5468
Li 1.1894 -3.3583 -2.8784
Li -3.0833 -3.9490 -0.2634
O 0.2104 -3.0943 -6.0011
O -1.7308 -2.3637 -5.1401
O -0.8701 -0.9270 -0.0114
O -1.5260 -4.4362 -6.0148
O -2.0365 -2.6109 -0.9635
O -0.1020 -2.9788 0.1162
O -1.7919 -4.3285 -3.2581
O 0.1426 -4.6964 -2.1784
O -0.3679 -2.8710 2.8730
O -1.0238 -6.3803 -3.1304
O -0.1631 -4.9436 1.9983
O -2.1043 -4.2130 2.8593
Tb -2.8712 -2.2074 -3.1075
Tb 0.9773 -5.0999 -0.0343
```

Values from the calculation:
Energy ... -152.1 eV for the cell shown
Crystal system ... monoclinic